DFT (PBE with a Hubbard U) results for crystalline PmPuMnO6 at its relaxed geometry.

## Properties
Mass density in g cm⁻³: 7.0
Total magnetization in μB per cell: 12.00
Symmetry: No. 163
E_tot in eV per atom: -8.653

Cell and atoms, written as POSCAR:
```
PmPuMnO6
1.0
5.793 0.000 0.000
-2.897 5.017 0.000
0.000 0.000 8.853
Pm Pu Mn O
2 2 2 12
Cartesian
0.000 3.345 2.213
2.897 1.672 6.639
2.897 1.672 2.213
0.000 3.345 6.639
0.000 0.000 0.000
0.000 0.000 4.426
2.090 3.186 1.135
4.610 1.614 1.135
-0.907 4.800 5.562
-1.714 3.403 7.717
1.183 1.614 3.291
3.703 3.186 3.291
0.907 4.800 7.717
3.804 0.217 3.291
-0.807 1.832 5.562
1.990 0.217 1.135
1.714 3.403 5.562
0.807 1.832 7.717
```